P) DFT (GGA-PBE) results for crystalline Bi2Ir2O5 at its relaxed geometry.

```
9
Lattice="-2.057 -6.914 -0.226 3.065 -0.987 2.302 -2.237 0.560 3.218" Properties=species:S:1:pos:R:3 pbc="T T T"
Bi 0.000 0.000 0.000
Bi -1.028 -3.457 -0.113
Ir 0.013 -1.561 2.716
Ir -1.241 -5.779 2.579
O 1.005 -2.269 1.093
O 0.004 -5.632 0.984
O -1.646 -1.495 1.551
O -2.647 -4.859 1.441
O -0.614 -3.670 2.647
```

Properties
The total moment is 0.0 μB/f.u.

---

Q) DFT (GGA-PBE) results for crystalline Bi2Ir2O5 at its relaxed geometry.

```
9
Lattice="-6.952 -7.424 1.129 2.346 -2.349 -1.001 0.985 -0.421 3.298" Properties=species:S:1:pos:R:3 pbc="T T T"
Bi -0.206 -3.384 1.453
Bi -3.414 -6.810 1.974
Ir 0.000 0.000 0.000
Ir -3.476 -3.712 0.565
O 0.378 -2.024 -0.371
O -4.983 -7.749 0.500
O -0.303 -1.060 1.778
O -5.664 -6.785 2.649
O -1.810 -5.097 1.713
```

Properties
The total moment is 0.2 μB/f.u.

---

Of them, Q) has the lowest stability.

---

P) DFT (GGA-PBE) results for crystalline BiIrPb2O6 at its relaxed geometry.

```
10
Lattice="5.012 -2.906 0.000 5.012 2.906 0.000 -3.424 0.000 4.979" Properties=species:S:1:pos:R:3 pbc="T T T"
Bi 0.000 0.000 0.000
Ir 3.300 0.000 2.490
O 2.167 0.000 0.865
O 4.497 -1.384 1.702
O 4.497 1.384 1.702
O 2.103 -1.384 3.277
O 2.103 1.384 3.277
O 4.432 0.000 4.115
Pb 6.605 0.000 1.381
Pb -0.005 0.000 3.599
```

Properties
The total moment is 0.8 μB/f.u.

---

Q) DFT (GGA-PBE) results for crystalline BiIrPb2O6 at its relaxed geometry.

```
10
Lattice="-0.009 -1.671 4.950 -4.724 -1.565 -1.956 2.729 -4.621 -1.795" Properties=species:S:1:pos:R:3 pbc="T T T"
Bi -2.366 -1.618 1.497
Ir 0.000 0.000 0.000
O -3.554 -1.818 -0.435
O -0.434 -1.951 0.128
O -3.159 -3.834 1.886
O 1.156 -4.023 -0.688
O -1.570 -5.905 1.070
O 1.551 -6.039 1.633
Pb -2.453 -3.768 -1.447
Pb 0.449 -4.089 2.645
```

Properties
The total moment is 1.7 μB/f.u.

---

Of them, Q) has the lowest stability.

---

P) DFT (GGA-PBE) results for crystalline PmBiIr at its relaxed geometry.

```
3
Lattice="3.909 -0.811 2.681 3.939 -1.898 -2.004 3.932 2.703 -0.602" Properties=species:S:1:pos:R:3 pbc="T T T"
Bi 8.835 -0.005 0.057
Ir 0.000 0.000 0.000
Pm 2.945 -0.002 0.019
```

Properties
The total moment is 0.0 μB/f.u.

---

Q) DFT (GGA-PBE) results for crystalline PmBiIr at its relaxed geometry.

```
3
Lattice="-4.719 0.495 1.379 -2.863 3.397 -2.164 -3.626 -1.404 -3.050" Properties=species:S:1:pos:R:3 pbc="T T T"
Bi -2.802 0.622 -0.959
Ir -8.406 1.865 -2.876
Pm 0.000 0.000 0.000
```

Properties
The total moment is 0.0 μB/f.u.

---

Of them, Q) has the lowest stability.